Density functional theory data (GGA-PBE) for a relaxed structure of CsCo2Mo.

## Properties
N(E_F): 1.51 states/eV per atom
formation energy: 1.8550 eV per atom
VASP energy: -4.619 eV/atom
ρ: 8.2 g/cm3
SG: Fm-3m
energy relative to the lowest polymorph listed for this composition: 398.4 meV per atom

abc: 4.635 4.635 4.635
angles: 60.00 60.00 60.00
Fractional coordinates of all 4 atoms:
Cs 0.500 0.500 0.500
Co 0.750 0.750 0.750
Mo 0.000 0.000 0.000
Co 0.250 0.250 0.250